Model a:
Density functional theory data (GGA-PBE) for an optimized crystal structure of LaTb2.

Its size of the total moment is 0.00 μB per cell. Its density of states at the Fermi level is 1.460 states/eV/atom.

The structure belongs to space group I4/mmm (No. 139); the cell edges are 3.6368, 3.6368 and 15.3142 Å and the angles 90.00°, 90.00° and 90.00°. The asymmetric unit holds La at (0.0000, 0.0000, 0.0000) and Tb at (0.0000, 0.0000, 0.3304).

=====

Model b:
Density functional theory data (GGA-PBE) for an optimized crystal structure of LaTb2.

Its size of the total moment is 0.00 μB per cell. Its density of states at the Fermi level is 2.249 states/eV/atom.

The structure belongs to space group Fmmm (No. 69); the cell edges are 5.9708, 5.9822 and 11.4168 Å and the angles 90.00°, 90.00° and 90.00°. The asymmetric unit holds La at (0.0000, 0.0000, 0.0000) and Tb at (0.0000, 0.0000, 0.3249).

=====

Energy ordering: model a at the bottom, the next structure 7.9 kJ/mol of atoms above.

=====

Model a:
Density functional theory data (GGA-PBE) for an optimized crystal structure of La3Tb7.

Its size of the total moment is 0.00 μB per cell. Its density of states at the Fermi level is 1.564 states/eV/atom.

The structure belongs to space group C2/m (No. 12); the cell edges are 18.4726, 5.1370 and 7.2175 Å and the angles 90.00°, 101.82° and 90.00°. The asymmetric unit holds La at (0.0000, 0.0000, 0.0000), La at (0.1983, 0.0000, 0.6006), Tb at (0.0000, 0.0000, 0.5000), Tb at (0.0991, 0.5000, 0.3002), Tb at (0.1003, 0.5000, 0.8014) and Tb at (0.2000, 0.0000, 0.1001).

=====

Model b:
Density functional theory data (GGA-PBE) for an optimized crystal structure of La3Tb7.

Its size of the total moment is 0.00 μB per cell. Its density of states at the Fermi level is 1.572 states/eV/atom.

The structure belongs to space group P6_3mc (No. 186); the cell edges are 10.8740, 10.8740 and 6.5925 Å and the angles 90.00°, 90.00° and 120.00°. The asymmetric unit holds La at (0.2038, 0.4075, 0.0000), Tb at (0.0567, 0.5284, 0.6528), Tb at (0.1201, 0.2403, 0.4797) and Tb at (0.3333, 0.6667, 0.3570).

=====

Energy ordering: model a at the bottom, the next structure 14.5 kJ/mol of atoms above.